1.
# CeErLuGa

Crystalline CeErLuGa at its relaxed geometry (GGA-PBE, the Alexandria database).

a b c (Å): 5.256 5.256 5.256
angles (deg): 60.00 60.00 60.00
Fractional coordinates of all 4 atoms:
Ga  0.250  0.250  0.250
Ce  0.000  0.000  0.000
Lu  0.750  0.750  0.750
Er  0.500  0.500  0.500

Total energy   -4.605 eV per atom
E_form   -9.04 kJ/mol of atoms

---

2.
# NbAgSeN2

Crystalline NbAgSeN2 at its relaxed geometry (GGA-PBE, the Alexandria database).

a b c (Å): 4.024 4.024 4.930
angles (deg): 90.00 90.00 90.00
Fractional coordinates of all 5 atoms:
N  0.500  0.000  0.000
N  0.000  0.500  0.000
Se  0.000  0.000  0.500
Nb  0.500  0.500  0.500
Ag  0.000  0.000  0.000

Formation energy from raw total energies   1.8491 eV per atom
Total energy   -4.762 eV per atom
Excess energy over the best structure of this formula in the dataset   1513 meV per atom

---

3.
# Nd2Ga3Pt5

Crystalline Nd2Ga3Pt5 at its relaxed geometry (GGA-PBE, the Alexandria database).

a b c (Å): 5.787 8.901 8.901
angles (deg): 67.59 71.03 71.03
Fractional coordinates of all 20 atoms:
Ga  0.101  0.245  0.553
Ga  0.750  0.000  0.000
Ga  0.399  0.447  0.755
Ga  0.250  0.000  0.000
Ga  0.899  0.755  0.447
Ga  0.601  0.553  0.245
Pt  0.134  0.969  0.762
Pt  0.461  0.289  0.289
Pt  0.961  0.289  0.289
Pt  0.866  0.031  0.238
Pt  0.539  0.711  0.711
Pt  0.750  0.500  0.500
Pt  0.366  0.238  0.031
Pt  0.039  0.711  0.711
Pt  0.250  0.500  0.500
Pt  0.634  0.762  0.969
Nd  0.144  0.630  0.082
Nd  0.356  0.918  0.370
Nd  0.856  0.370  0.918
Nd  0.644  0.082  0.630

Total energy   -5.811 eV per atom
Excess energy over the best structure of this formula in the dataset   0 meV per atom
E_form   -89.61 kJ/mol of atoms

---

Q: What is the formula in the second record?
A: NbAgSeN2